[1]
DFT (GGA-PBE) results for an optimized crystal structure of Ga6Ni2Ir.

Cell lengths 6.3477, 6.5898, 7.2926 Å; angles 90.00, 65.40, 90.00 degrees
Last column: nearest neighbours and their distance in Å.
Fractional coordinates of all 18 atoms:
Ga1 0.3878 0.8297 0.4640  2 Ni 2.45-2.53, 1 Ir 2.62, 3 Ga 2.62-2.68
Ga2 0.1316 0.0221 0.7975  2 Ni 2.48-2.53, 4 Ga 2.62-2.77, 1 Ir 2.63
Ga3 0.6647 0.1423 0.8819  3 Ni 2.42-2.43, 1 Ir 2.58, 1 Ga 2.68
Ga4 0.6122 0.1703 0.5360  2 Ni 2.45-2.53, 1 Ir 2.62, 3 Ga 2.62-2.68
Ga5 0.8878 0.6703 0.9640  2 Ni 2.45-2.53, 1 Ir 2.62, 3 Ga 2.62-2.68
Ga6 0.3353 0.8577 0.1181  3 Ni 2.42-2.43, 1 Ir 2.58, 1 Ga 2.68
Ga7 0.1122 0.3297 0.0360  2 Ni 2.45-2.53, 1 Ir 2.62, 3 Ga 2.62-2.68
Ga8 0.8684 0.9779 0.2025  2 Ni 2.48-2.53, 4 Ga 2.62-2.77, 1 Ir 2.63
Ga9 0.8353 0.6423 0.6181  3 Ni 2.42-2.43, 1 Ir 2.58, 1 Ga 2.68
Ga10 0.1647 0.3577 0.3819  3 Ni 2.42-2.43, 1 Ir 2.58, 1 Ga 2.68
Ga11 0.3684 0.5221 0.7025  2 Ni 2.48-2.53, 4 Ga 2.62-2.77, 1 Ir 2.63
Ga12 0.6316 0.4779 0.2975  2 Ni 2.48-2.53, 4 Ga 2.62-2.77, 1 Ir 2.63
Ni1 0.4937 0.1305 0.2466  7 Ga 2.42-2.53
Ni2 0.5063 0.8695 0.7534  7 Ga 2.42-2.53
Ni3 0.9937 0.3695 0.7466  7 Ga 2.42-2.53
Ni4 0.0063 0.6305 0.2534  7 Ga 2.42-2.53
Ir1 0.5000 0.5000 0.0000  8 Ga 2.58-2.87
Ir2 0.0000 0.0000 0.5000  8 Ga 2.58-2.87

Values from the calculation:
E_form	-0.216	eV/atom
calculated volume	15.41	A^3/atom
crystal system	monoclinic
size of the total moment	0.00	μB per formula unit



[2]
DFT (GGA-PBE) results for an optimized crystal structure of GaNi6Ir.

Cell lengths 6.2397, 6.2397, 10.1965 Å; angles 90.00, 90.00, 109.56 degrees
Last column: nearest neighbours and their distance in Å.
Fractional coordinates of all 32 atoms:
Ga1 0.0000 0.0000 0.7478  12 Ni 2.53-2.57
Ga2 0.0000 0.0000 0.2522  12 Ni 2.53-2.57
Ga3 0.2497 0.7503 0.5000  12 Ni 2.54-2.55
Ga4 0.7503 0.2497 0.5000  12 Ni 2.54-2.55
Ni1 0.6249 0.8750 0.3761  8 Ni 2.53-2.55, 3 Ga 2.54, 1 Ir 2.55
Ni2 0.5000 0.5000 0.0000  8 Ni 2.56, 4 Ir 2.56-2.57
Ni3 0.0000 0.0000 0.5000  4 Ga 2.53-2.55, 8 Ni 2.54
Ni4 0.0000 0.0000 0.0000  2 Ir 2.53, 8 Ni 2.55, 2 Ga 2.57
Ni5 0.8750 0.6249 0.6239  8 Ni 2.53-2.55, 3 Ga 2.54, 1 Ir 2.55
Ni6 0.7500 0.2500 0.2504  8 Ni 2.54-2.55, 2 Ga 2.54-2.55, 2 Ir 2.55
Ni7 0.1250 0.3751 0.3761  8 Ni 2.53-2.55, 3 Ga 2.54, 1 Ir 2.55
Ni8 0.2500 0.7500 0.7496  8 Ni 2.54-2.55, 2 Ga 2.54-2.55, 2 Ir 2.55
Ni9 0.3744 0.1245 0.1266  8 Ni 2.54-2.58, 3 Ir 2.54-2.57, 1 Ga 2.55
Ni10 0.3744 0.1245 0.8734  8 Ni 2.54-2.58, 3 Ir 2.54-2.57, 1 Ga 2.55
Ni11 0.8750 0.6249 0.3761  8 Ni 2.53-2.55, 3 Ga 2.54, 1 Ir 2.55
Ni12 0.7500 0.2500 0.7496  8 Ni 2.54-2.55, 2 Ga 2.54-2.55, 2 Ir 2.55
Ni13 0.1245 0.3744 0.1266  8 Ni 2.54-2.58, 3 Ir 2.54-2.57, 1 Ga 2.55
Ni14 0.6256 0.8755 0.1266  8 Ni 2.54-2.58, 3 Ir 2.54-2.57, 1 Ga 2.55
Ni15 0.2500 0.7500 0.2504  8 Ni 2.54-2.55, 2 Ga 2.54-2.55, 2 Ir 2.55
Ni16 0.3751 0.1250 0.3761  8 Ni 2.53-2.55, 3 Ga 2.54, 1 Ir 2.55
Ni17 0.3751 0.1250 0.6239  8 Ni 2.53-2.55, 3 Ga 2.54, 1 Ir 2.55
Ni18 0.1250 0.3751 0.6239  8 Ni 2.53-2.55, 3 Ga 2.54, 1 Ir 2.55
Ni19 0.6256 0.8755 0.8734  8 Ni 2.54-2.58, 3 Ir 2.54-2.57, 1 Ga 2.55
Ni20 0.5000 0.5000 0.5000  2 Ir 2.54, 8 Ni 2.54, 2 Ga 2.55
Ni21 0.8755 0.6256 0.1266  8 Ni 2.54-2.58, 3 Ir 2.54-2.57, 1 Ga 2.55
Ni22 0.1245 0.3744 0.8734  8 Ni 2.54-2.58, 3 Ir 2.54-2.57, 1 Ga 2.55
Ni23 0.6249 0.8750 0.6239  8 Ni 2.53-2.55, 3 Ga 2.54, 1 Ir 2.55
Ni24 0.8755 0.6256 0.8734  8 Ni 2.54-2.58, 3 Ir 2.54-2.57, 1 Ga 2.55
Ir1 0.7517 0.2483 0.0000  12 Ni 2.53-2.57
Ir2 0.2483 0.7517 0.0000  12 Ni 2.53-2.57
Ir3 0.5000 0.5000 0.2510  12 Ni 2.54-2.56
Ir4 0.5000 0.5000 0.7490  12 Ni 2.54-2.56

Values from the calculation:
E_form	-0.127	eV/atom
calculated volume	11.69	A^3/atom
crystal system	orthorhombic
relative energy among the computed polymorphs	0.00	kcal/mol of atoms
size of the total moment	2.21	μB per formula unit



[3]
DFT (GGA-PBE) results for an optimized crystal structure of Ga3Ni5Ir.

Cell lengths 6.8493, 6.8493, 7.1278 Å; angles 118.72, 118.72, 90.00 degrees
Last column: nearest neighbours and their distance in Å.
Fractional coordinates of all 18 atoms:
Ni1 0.4284 0.3312 0.2595  1 Ga 2.22, 1 Ir 2.32
Ni2 0.0000 0.0000 0.0000  6 Ga 2.61-2.74, 8 Ni 2.82
Ni3 0.5716 0.6688 0.7405  1 Ga 2.22, 1 Ir 2.32
Ni4 0.6688 0.1688 0.7405  1 Ga 2.22, 1 Ir 2.32
Ni5 0.1688 0.0716 0.7405  1 Ga 2.22, 1 Ir 2.32
Ni6 0.5000 0.5000 0.0000  6 Ga 2.61-2.74, 8 Ni 2.82
Ni7 0.9284 0.4284 0.2595  1 Ga 2.22, 1 Ir 2.32
Ni8 0.0716 0.5716 0.7405  1 Ga 2.22, 1 Ir 2.32
Ni9 0.8312 0.9284 0.2595  1 Ga 2.22, 1 Ir 2.32
Ni10 0.3312 0.8312 0.2595  1 Ga 2.22, 1 Ir 2.32
Ga1 0.2500 0.2500 0.5000  10 Ni 2.61-2.77
Ga2 0.6175 0.1175 0.0000  2 Ni 2.22, 1 Ga 2.28
Ga3 0.7500 0.7500 0.5000  10 Ni 2.61-2.77
Ga4 0.3825 0.8825 0.0000  2 Ni 2.22, 1 Ga 2.28
Ga5 0.8825 0.6175 0.0000  2 Ni 2.22, 1 Ga 2.28
Ga6 0.1175 0.3825 0.0000  2 Ni 2.22, 1 Ga 2.28
Ir1 0.7500 0.2500 0.5000  4 Ni 2.32
Ir2 0.2500 0.7500 0.5000  4 Ni 2.32

Values from the calculation:
E_form	0.115	eV/atom
calculated volume	13.63	A^3/atom
crystal system	tetragonal
size of the total moment	0.00	μB per formula unit



[4]
DFT (GGA-PBE) results for an optimized crystal structure of Ga6Ni8Ir.

Cell lengths 6.9440, 6.9440, 6.3553 Å; angles 56.89, 56.89, 60.00 degrees
Last column: nearest neighbours and their distance in Å.
Fractional coordinates of all 15 atoms:
Ga1 0.4021 0.0683 0.8086  7 Ni 2.37-2.57, 1 Ir 2.55
Ga2 0.7211 0.4021 0.8086  7 Ni 2.37-2.57, 1 Ir 2.55
Ga3 0.5979 0.9317 0.1914  7 Ni 2.37-2.57, 1 Ir 2.55
Ga4 0.2789 0.5979 0.1914  7 Ni 2.37-2.57, 1 Ir 2.55
Ga5 0.9317 0.2789 0.1914  7 Ni 2.37-2.57, 1 Ir 2.55
Ga6 0.0683 0.7211 0.8086  7 Ni 2.37-2.57, 1 Ir 2.55
Ni1 0.7809 0.1064 0.6714  5 Ga 2.37-2.57
Ni2 0.4412 0.7809 0.6714  5 Ga 2.37-2.57
Ni3 0.5588 0.2191 0.3286  5 Ga 2.37-2.57
Ni4 0.2191 0.8936 0.3286  5 Ga 2.37-2.57
Ni5 0.6702 0.6702 0.9893  6 Ga 2.48
Ni6 0.1064 0.4412 0.6714  5 Ga 2.37-2.57
Ni7 0.3298 0.3298 0.0107  6 Ga 2.48
Ni8 0.8936 0.5588 0.3286  5 Ga 2.37-2.57
Ir1 0.0000 0.0000 0.0000  6 Ga 2.55, 6 Ni 2.81

Values from the calculation:
E_form	-0.173	eV/atom
calculated volume	13.73	A^3/atom
crystal system	trigonal
size of the total moment	0.00	μB per formula unit



[5]
DFT (GGA-PBE) results for an optimized crystal structure of Ga2Ni2Ir.

Cell lengths 2.9371, 2.9622, 7.8743 Å; angles 79.16, 90.00, 90.00 degrees
Last column: nearest neighbours and their distance in Å.
Fractional coordinates of all 5 atoms:
Ni1 0.0000 0.1868 0.6265  4 Ga 2.44, 2 Ni 2.45
Ni2 0.0000 0.8132 0.3735  4 Ga 2.44, 2 Ni 2.45
Ir1 0.0000 0.0000 0.0000  8 Ga 2.65, 2 Ni 2.89, 4 Ir 2.94-2.96
Ga1 0.5000 0.6053 0.7895  4 Ni 2.44, 4 Ir 2.65
Ga2 0.5000 0.3947 0.2105  4 Ni 2.44, 4 Ir 2.65

Values from the calculation:
E_form	-0.206	eV/atom
calculated volume	13.46	A^3/atom
crystal system	orthorhombic
relative energy among the computed polymorphs	0.22	kcal/mol of atoms
size of the total moment	0.00	μB per formula unit



[6]
DFT (GGA-PBE) results for an optimized crystal structure of GaNiIr.

Cell lengths 4.1980, 4.1980, 5.2116 Å; angles 90.00, 90.00, 120.00 degrees
Last column: nearest neighbours and their distance in Å.
Fractional coordinates of all 6 atoms:
Ni1 0.3333 0.6667 0.2275  5 Ir 2.55-2.67, 3 Ni 2.60
Ni2 0.6667 0.3333 0.4058  5 Ga 2.50-2.66, 3 Ni 2.60
Ga1 0.6667 0.3333 0.9154  6 Ir 2.51-2.64, 2 Ni 2.56-2.66
Ga2 0.0000 0.0000 0.5236  3 Ni 2.50, 5 Ir 2.51-2.70
Ir1 0.3333 0.6667 0.7161  2 Ni 2.55-2.67, 6 Ga 2.62-2.64
Ir2 0.0000 0.0000 0.0419  5 Ga 2.51-2.70, 3 Ni 2.61

Values from the calculation:
E_form	-0.273	eV/atom
calculated volume	13.26	A^3/atom
crystal system	trigonal
size of the total moment	0.00	μB per formula unit